Entry 1:
DFT (PBE-GGA) results for a relaxed structure of PmY3Ru.

Output
total moment	0.0	μB/f.u.
polymorph energy (0 for the lowest one)	82.1	meV per atom
energy	-0.4989	Ry per atom

Cell lengths 4.918, 9.763, 6.570 Å; angles 90.00, 111.75, 90.00 degrees
Space group P2_1/m (No. 11)
Asymmetric unit:
Pm (0.139, 0.250, 0.276)
Y (0.136, 0.750, 0.270)
Y (0.365, 0.001, 0.732)
Ru (0.498, 0.250, 0.996)

Entry 2:
DFT (PBE-GGA) results for a relaxed structure of PmYRu.

Output
total moment	0.0	μB/f.u.
polymorph energy (0 for the lowest one)	0.0	meV per atom
energy	-0.5170	Ry per atom

Cell lengths 6.850, 6.850, 6.850 Å; angles 90.00, 90.00, 90.00 degrees
Space group F-43m (No. 216)
Asymmetric unit:
Pm (0.000, 0.000, 0.000)
Y (0.000, 0.000, 0.500)
Ru (0.250, 0.250, 0.250)

Entry 3:
DFT (PBE-GGA) results for a relaxed structure of PmY3Ru.

Output
total moment	0.0	μB/f.u.
polymorph energy (0 for the lowest one)	0.0	meV per atom
energy	-0.5049	Ry per atom

Cell lengths 11.803, 8.576, 8.180 Å; angles 90.00, 133.23, 90.00 degrees
Space group C2/m (No. 12)
Asymmetric unit:
Pm (0.052, 0.000, 0.342)
Y (0.054, 0.500, 0.256)
Y (0.248, 0.301, 0.795)
Ru (0.250, 0.000, 0.883)

Entry 4:
DFT (PBE-GGA) results for a relaxed structure of PmYRu2.

Output
total moment	0.0	μB/f.u.
polymorph energy (0 for the lowest one)	0.0	meV per atom
energy	-0.5613	Ry per atom

Cell lengths 3.447, 3.447, 6.902 Å; angles 90.00, 90.00, 90.00 degrees
Space group P4/mmm (No. 123)
Asymmetric unit:
Pm (0.000, 0.000, 0.000)
Y (0.000, 0.000, 0.500)
Ru (0.500, 0.500, 0.252)

Entry 5:
DFT (PBE-GGA) results for a relaxed structure of Pm7YRu2.

Output
total moment	0.0	μB/f.u.
energy	-0.4237	Ry per atom

Cell lengths 8.843, 14.334, 5.477 Å; angles 90.00, 90.00, 90.00 degrees
Space group Cmmm (No. 65)
Asymmetric unit:
Pm (0.000, 0.000, 0.000)
Pm (0.000, 0.210, 0.500)
Pm (0.191, 0.365, 0.000)
Y (0.000, 0.500, 0.500)
Ru (0.000, 0.200, 0.000)

Entry 6:
DFT (PBE-GGA) results for a relaxed structure of Pm2Zn3Ru.

Output
total moment	0.0	μB/f.u.
polymorph energy (0 for the lowest one)	206.3	meV per atom
energy	-0.2847	Ry per atom

Cell lengths 4.826, 5.382, 10.105 Å; angles 90.00, 90.00, 90.00 degrees
Space group Immm (No. 71)
Asymmetric unit:
Pm (0.000, 0.000, 0.214)
Zn (0.000, 0.500, 0.114)
Zn (0.000, 0.500, 0.500)
Ru (0.000, 0.000, 0.500)

Entry 7:
DFT (PBE-GGA) results for a relaxed structure of Pm2Zn16Ru.

Output
total moment	0.0	μB/f.u.
energy	-0.1687	Ry per atom

Cell lengths 9.0337, 9.0337, 13.1911 Å; angles 90.00, 90.00, 120.00 degrees
Space group R3m (No. 160, hexagonal axes)
Asymmetric unit:
Pm (0.0000, 0.0000, 0.0000)
Pm (0.0000, 0.0000, 0.3328)
Zn (0.0000, 0.0000, 0.7611)
Zn (0.9998, 0.2853, 0.6578)
Zn (0.0011, 0.5006, 0.8100)
Zn (0.0088, 0.5044, 0.1588)
Zn (0.1720, 0.3440, 0.8432)
Ru (0.0000, 0.0000, 0.5624)

Entry 8:
DFT (PBE-GGA) results for a relaxed structure of PmZnRu.

Output
total moment	0.0	μB/f.u.
polymorph energy (0 for the lowest one)	66.0	meV per atom
energy	-0.3891	Ry per atom

Cell lengths 4.3970, 4.3970, 3.6965 Å; angles 90.00, 90.00, 120.00 degrees
Space group P-6m2 (No. 187)
Asymmetric unit:
Pm (0.0000, 0.0000, 0.0000)
Zn (0.3333, 0.6667, 0.5000)
Ru (0.6667, 0.3333, 0.5000)

| no. | formation energy (eV/atom) |
| --- | --- |
| 1 | -0.104 |
| 2 | -0.205 |
| 3 | -0.186 |
| 4 | -0.196 |
| 5 | 0.062 |
| 6 | -0.107 |
| 7 | -0.235 |
| 8 | -0.194 |